First-principles (GGA-PBE) data for KZnRe after structural relaxation, as listed in the Alexandria database.

Results
Fermi-level density of states: 3.6 states/eV per cell
Magnetization: 4.04 μB/cell
Relative energy among the computed polymorphs: 1512.8 meV per atom
Formation energy: 2.3648 eV/atom
Symmetry: F-43m

a b c (Å): 5.206 5.206 5.206
angles (deg): 60.00 60.00 60.00
Positions (direct):
K 0.000 0.000 0.000
Zn 0.750 0.750 0.750
Re 0.250 0.250 0.250